Material: KLiYb2Mo4O16
Method: DFT, PBE+U
State: optimized geometry

Values from the calculation:
Calculated total energy, eV/atom: -6.705

The structure in POSCAR format:
```
KLiYb2Mo4O16
1.0
-5.253 2.075 -4.042
0.606 -3.924 5.698
-3.603 15.624 11.790
K Li Yb Mo O
2 2 4 8 32
direct
0.533 0.467 0.250
0.467 0.533 0.750
0.812 0.188 0.250
0.188 0.812 0.750
0.648 0.356 0.032
0.352 0.644 0.968
0.644 0.352 0.468
0.356 0.648 0.532
0.915 0.041 0.091
0.085 0.959 0.909
0.959 0.085 0.409
0.041 0.915 0.591
0.230 0.737 0.146
0.770 0.263 0.854
0.263 0.770 0.354
0.737 0.230 0.646
0.668 0.000 0.042
0.332 0.000 0.958
0.000 0.332 0.458
0.000 0.668 0.542
0.491 0.760 0.170
0.509 0.240 0.830
0.240 0.509 0.330
0.760 0.491 0.670
0.721 0.760 0.461
0.279 0.240 0.539
0.240 0.279 0.039
0.760 0.721 0.961
0.446 0.921 0.433
0.554 0.079 0.567
0.079 0.554 0.067
0.921 0.446 0.933
0.802 0.990 0.330
0.198 0.010 0.670
0.010 0.198 0.170
0.990 0.802 0.830
0.725 0.821 0.600
0.275 0.179 0.400
0.179 0.275 0.900
0.821 0.725 0.100
0.400 0.088 0.131
0.600 0.912 0.869
0.912 0.600 0.369
0.088 0.400 0.631
0.438 0.027 0.287
0.562 0.973 0.713
0.973 0.562 0.213
0.027 0.438 0.787
```